! KNa4Li (PBE, relaxed); values from VASP
! Size of the total moment (μB per cell): 0.00
! Crystal system: monoclinic
! DOS at the Fermi energy (states/eV/cell): 5.55
! Polymorph energy (0 for the lowest one) (meV per atom): 0
&SYSTEM
  ibrav = 0, nat = 12, ntyp = 3
/
ATOMIC_SPECIES
K 39.10 K.upf
Na 22.99 Na.upf
Li 6.94 Li.upf
ATOMIC_POSITIONS crystal
K 0.212 0.212 0.202
K 0.788 0.788 0.798
Na 0.111 0.677 0.401
Na 0.193 0.807 0.000
Na 0.323 0.889 0.599
Na 0.339 0.339 0.828
Na 0.661 0.661 0.172
Na 0.677 0.111 0.401
Na 0.807 0.193 0.000
Na 0.889 0.323 0.599
Li 0.496 0.496 0.267
Li 0.504 0.504 0.733
CELL_PARAMETERS angstrom
9.358 -4.203 0.000
9.358 4.203 0.000
-2.096 0.000 6.154